Ir5Os4 | GGA-PBE | relaxed

Properties
Distance to the lowest polymorph of the same formula = 0.351 eV/atom
Formation energy from the elements = 0.370 eV per atom

a b c (Å): 7.5446 7.5446 5.4244
angles (deg): 90.00 90.00 120.00
Last column: nearest neighbours and their distance in Å.
Space group P6_3/mcm (No. 193)
One atom of each set of equivalent atoms:
Ir 0.0000 0.3305 0.2500 (multiplicity 6)  5 Os 2.50-2.71
Ir 0.3333 0.6667 0.0000 (multiplicity 4)  8 Ir 2.71-2.87, 6 Os 2.86
Os 0.0000 0.0000 0.0000 (multiplicity 2)  8 Os 2.71-2.85, 6 Ir 2.84
Os 0.0000 0.3325 0.7500 (multiplicity 6)  5 Ir 2.50-2.71